This record from the Alexandria database describes a geometry-optimized KLiPa2S5 structure. The functional is PBE.

Computed properties:
Uncorrected formation energy ... -1584 meV/atom
Size of the total moment ... 1.98 μB per formula unit
Total DFT energy (no corrections) ... -6.32 eV/atom

Geometry as extended XYZ:
```
18
Lattice="-3.810 3.810 7.057 3.810 -3.810 7.057 3.810 3.810 -7.057" Properties=species:S:1:pos:R:3 pbc="T T T"
K 0.000 0.000 3.528
K 0.000 0.000 10.585
Li 3.810 0.000 3.528
Li 0.000 3.810 3.528
Pa 5.036 1.227 0.000
Pa 1.227 2.583 0.000
Pa 2.583 1.227 7.057
Pa -1.227 2.583 7.057
S 0.000 0.000 0.000
S 2.704 1.105 -1.723
S 2.704 -1.105 5.333
S 2.704 1.105 1.723
S 2.704 -1.105 8.780
S 0.000 0.000 7.057
S 1.105 4.915 -1.723
S 1.105 2.704 5.333
S 1.105 4.915 1.723
S 1.105 2.704 8.780
```